ReNiSbPd | PBE-GGA | relaxed

Computed properties:
crystal system	cubic
space-group type	F-43m (216)
total DFT energy (no corrections)	-6.34	eV/atom

Unit cell a=4.4697 b=4.4697 c=4.4697 alpha=60.00 beta=60.00 gamma=60.00
Last column: nearest neighbours and their distance in Å.
Fractional coordinates of all 4 atoms:
Pd1 0.2500 0.2500 0.2500  4 Sb 2.74, 4 Re 2.74
Re1 0.5000 0.5000 0.5000  4 Ni 2.74, 4 Pd 2.74
Ni1 0.7500 0.7500 0.7500  4 Sb 2.74, 4 Re 2.74
Sb1 0.0000 0.0000 0.0000  4 Ni 2.74, 4 Pd 2.74

ErTmMg6 | PBE-GGA | relaxed

Computed properties:
crystal system	orthorhombic
E above lowest polymorph	5	meV/atom
space-group type	Amm2 (38)

Unit cell a=5.1585 b=6.6338 c=6.6338 alpha=60.09 beta=90.00 gamma=90.00
Last column: nearest neighbours and their distance in Å.
Fractional coordinates of all 8 atoms:
Mg1 0.5000 0.1626 0.1626  8 Mg 3.19-3.39, 2 Tm 3.24, 2 Er 3.32
Tm1 0.0000 0.3336 0.3336  12 Mg 3.24-3.32
Mg2 0.0000 0.3264 0.8375  8 Mg 3.19-3.39, 2 Er 3.24, 2 Tm 3.32
Mg3 0.0000 0.8374 0.8374  8 Mg 3.19-3.39, 2 Er 3.24, 2 Tm 3.32
Er1 0.5000 0.6664 0.6664  12 Mg 3.24-3.32
Mg4 0.5000 0.1626 0.6735  8 Mg 3.19-3.39, 2 Tm 3.24, 2 Er 3.32
Mg5 0.0000 0.8375 0.3264  8 Mg 3.19-3.39, 2 Er 3.24, 2 Tm 3.32
Mg6 0.5000 0.6735 0.1626  8 Mg 3.19-3.39, 2 Tm 3.24, 2 Er 3.32

PmLu | PBE-GGA | relaxed

Computed properties:
crystal system	cubic
E above lowest polymorph	1745	meV/atom
space-group type	F-43m (216)
ΔH_f (0 K)	1779.3	meV per atom

Unit cell a=4.9214 b=4.9214 c=4.9214 alpha=60.00 beta=60.00 gamma=60.00
Last column: nearest neighbours and their distance in Å.
Fractional coordinates of all 2 atoms:
Lu1 0.0000 0.0000 0.0000  4 Pm 3.01
Pm1 0.2500 0.2500 0.2500  4 Lu 3.01

TlNiBiSe3 | PBE-GGA | relaxed

Computed properties:
crystal system	orthorhombic
space-group type	Cmcm (63)
total DFT energy (no corrections)	-3.97	eV/atom

Unit cell a=7.4772 b=7.4772 c=11.2379 alpha=90.00 beta=90.00 gamma=148.06
Last column: nearest neighbours and their distance in Å.
Fractional coordinates of all 12 atoms:
Se1 0.6314 0.3686 0.5818  1 Ni 2.42
Se2 0.3686 0.6314 0.0818  1 Ni 2.42
Se3 0.3686 0.6314 0.4182  1 Ni 2.42
Se4 0.0646 0.9354 0.2500  2 Ni 2.44
Bi1 0.0000 0.0000 0.5000  6 Se 2.94-2.96
Tl1 0.7508 0.2492 0.2500  6 Se 3.27-3.38
Se5 0.9354 0.0646 0.7500  2 Ni 2.44
Ni1 0.5263 0.4737 0.7500  4 Se 2.42-2.44
Se6 0.6314 0.3686 0.9182  1 Ni 2.42
Ni2 0.4737 0.5263 0.2500  4 Se 2.42-2.44
Tl2 0.2492 0.7508 0.7500  6 Se 3.27-3.38
Bi2 0.0000 0.0000 0.0000  6 Se 2.94-2.96

SrLiW | PBE-GGA | relaxed

Computed properties:
crystal system	cubic
E above lowest polymorph	0	meV/atom
space-group type	F-43m (216)

Unit cell a=4.9090 b=4.9090 c=4.9090 alpha=60.00 beta=60.00 gamma=60.00
Last column: nearest neighbours and their distance in Å.
Fractional coordinates of all 3 atoms:
W1 0.7500 0.7500 0.7500  4 Li 3.01
Li1 0.0000 0.0000 0.0000  4 W 3.01, 4 Sr 3.01
Sr1 0.2500 0.2500 0.2500  4 Li 3.01

Lu4ZnAuC2 | PBE-GGA | relaxed

Computed properties:
crystal system	hexagonal
space-group type	P-6m2 (187)
total DFT energy (no corrections)	-5.58	eV/atom

Unit cell a=3.5278 b=3.5278 c=14.3916 alpha=90.00 beta=90.00 gamma=120.00
Last column: nearest neighbours and their distance in Å.
Fractional coordinates of all 8 atoms:
Zn1 0.3333 0.6667 0.0000  6 Lu 3.11
Au1 0.0000 0.0000 0.5000  6 Lu 3.02
Lu1 0.3333 0.6667 0.6547  3 C 2.39
Lu2 0.3333 0.6667 0.3453  3 C 2.39
Lu3 0.0000 0.0000 0.1633  3 C 2.45
Lu4 0.0000 0.0000 0.8367  3 C 2.45
C1 0.6667 0.3333 0.7415  6 Lu 2.39-2.45
C2 0.6667 0.3333 0.2585  6 Lu 2.39-2.45

LuBiB | PBE-GGA | relaxed

Computed properties:
crystal system	cubic
E above lowest polymorph	0	meV/atom
space-group type	F-43m (216)

Unit cell a=4.5364 b=4.5364 c=4.5364 alpha=60.00 beta=60.00 gamma=60.00
Last column: nearest neighbours and their distance in Å.
Fractional coordinates of all 3 atoms:
Bi1 0.2500 0.2500 0.2500  4 B 2.78
Lu1 0.7500 0.7500 0.7500  4 B 2.78
B1 0.0000 0.0000 0.0000  4 Lu 2.78, 4 Bi 2.78

DyLuNO | PBE-GGA | relaxed

Computed properties:
crystal system	orthorhombic
E above lowest polymorph	74	meV/atom
space-group type	Pbcm (57)

Unit cell a=6.5179 b=7.9552 c=4.8240 alpha=90.00 beta=90.00 gamma=90.00
Last column: nearest neighbours and their distance in Å.
Fractional coordinates of all 16 atoms:
O1 0.5918 0.3586 0.5512  1 Lu 2.19, 4 Dy 2.23-2.42
Dy1 0.5662 0.3763 0.0507  4 O 2.23-2.42, 1 N 2.24
Lu1 0.0846 0.1242 0.0505  1 O 2.19, 4 N 2.20-2.42
N1 0.4254 0.1197 0.0500  4 Lu 2.20-2.42, 1 Dy 2.24
Lu2 0.5846 0.8758 0.0505  1 O 2.19, 4 N 2.20-2.42
Lu3 0.4154 0.1242 0.5505  1 O 2.19, 4 N 2.20-2.42
Dy2 0.0662 0.6237 0.0507  4 O 2.23-2.42, 1 N 2.24
Lu4 0.9154 0.8758 0.5505  1 O 2.19, 4 N 2.20-2.42
N2 0.0746 0.1197 0.5500  4 Lu 2.20-2.42, 1 Dy 2.24
O2 0.9082 0.3586 0.0512  1 Lu 2.19, 4 Dy 2.23-2.42
N3 0.5746 0.8803 0.5500  4 Lu 2.20-2.42, 1 Dy 2.24
Dy3 0.4338 0.6237 0.5507  4 O 2.23-2.42, 1 N 2.24
Dy4 0.9338 0.3763 0.5507  4 O 2.23-2.42, 1 N 2.24
N4 0.9254 0.8803 0.0500  4 Lu 2.20-2.42, 1 Dy 2.24
O3 0.4082 0.6414 0.0512  1 Lu 2.19, 4 Dy 2.23-2.42
O4 0.0918 0.6414 0.5512  1 Lu 2.19, 4 Dy 2.23-2.42

NbHgO3 | PBE-GGA | relaxed

Computed properties:
crystal system	trigonal
space-group type	R-3c (167)
total DFT energy (no corrections)	-6.21	eV/atom

Unit cell a=5.5599 b=5.5599 c=5.5599 alpha=68.28 beta=68.28 gamma=68.28
Last column: nearest neighbours and their distance in Å.
Fractional coordinates of all 10 atoms:
O1 0.5494 0.9506 0.2500  1 Nb 1.87
Nb1 0.7500 0.7500 0.7500  3 O 1.87
Hg1 0.0000 0.0000 0.0000  6 O 2.44
O2 0.4506 0.0494 0.7500  1 Nb 1.87
Hg2 0.5000 0.5000 0.5000  6 O 2.44
Nb2 0.2500 0.2500 0.2500  3 O 1.87
O3 0.2500 0.5494 0.9506  1 Nb 1.87
O4 0.9506 0.2500 0.5494  1 Nb 1.87
O5 0.0494 0.7500 0.4506  1 Nb 1.87
O6 0.7500 0.4506 0.0494  1 Nb 1.87

CsK2Cu3P2 | PBE-GGA | relaxed

Computed properties:
crystal system	trigonal
space-group type	R-3m (166)
total DFT energy (no corrections)	-3.46	eV/atom

Unit cell a=7.5580 b=7.5580 c=7.5580 alpha=45.41 beta=45.41 gamma=45.41
Last column: nearest neighbours and their distance in Å.
Fractional coordinates of all 8 atoms:
K1 0.9097 0.9097 0.9097  4 P 3.38-3.43, 6 Cu 3.45, 1 K 3.67, 3 Cs 3.71
Cu1 0.5000 0.5000 0.0000  2 P 2.26
Cu2 0.5000 0.0000 0.5000  2 P 2.26
P1 0.7407 0.7407 0.7407  3 Cu 2.26
Cu3 0.0000 0.5000 0.5000  2 P 2.26
P2 0.2593 0.2593 0.2593  3 Cu 2.26
K2 0.0903 0.0903 0.0903  4 P 3.38-3.43, 6 Cu 3.45, 1 K 3.67, 3 Cs 3.71
Cs1 0.5000 0.5000 0.5000  6 K 3.71, 6 Cu 3.78, 6 P 3.86

ErTeAuO | PBE-GGA | relaxed

Computed properties:
crystal system	orthorhombic
E above lowest polymorph	462	meV/atom
space-group type	Pmc2_1 (26)

Unit cell a=4.3904 b=6.4858 c=6.7386 alpha=90.00 beta=90.00 gamma=90.00
Last column: nearest neighbours and their distance in Å.
Fractional coordinates of all 8 atoms:
Er1 0.5000 0.1693 0.4633  2 O 2.07-2.10
Te1 0.0000 0.6589 0.2289  2 Au 2.66-2.77
O1 0.5000 0.0707 0.1663  2 Er 2.07-2.10
Au1 0.0000 0.2619 0.1326  2 O 2.53, 2 Te 2.66-2.77
Er2 0.5000 0.8307 0.9633  2 O 2.07-2.10
Au2 0.0000 0.7381 0.6326  2 O 2.53, 2 Te 2.66-2.77
O2 0.5000 0.9293 0.6663  2 Er 2.07-2.10
Te2 0.0000 0.3411 0.7289  2 Au 2.66-2.77

PuHf2 | PBE-GGA | relaxed

Computed properties:
crystal system	cubic
space-group type	Fd-3m (227)
ΔH_f (0 K)	3279.8	meV per atom

Unit cell a=8.4066 b=8.4066 c=8.4066 alpha=60.00 beta=60.00 gamma=60.00
Last column: nearest neighbours and their distance in Å.
Fractional coordinates of all 6 atoms:
Hf1 0.8750 0.3750 0.3750  2 Pu 2.57
Pu1 0.2500 0.2500 0.2500  4 Hf 2.57
Pu2 0.5000 0.5000 0.5000  4 Hf 2.57
Hf2 0.3750 0.3750 0.8750  2 Pu 2.57
Hf3 0.3750 0.8750 0.3750  2 Pu 2.57
Hf4 0.3750 0.3750 0.3750  2 Pu 2.57

GdTmSn2Pd4 | PBE-GGA | relaxed

Computed properties:
crystal system	hexagonal
space-group type	P-6m2 (187)
total DFT energy (no corrections)	-5.62	eV/atom

Unit cell a=4.5794 b=4.5794 c=8.9352 alpha=90.00 beta=90.00 gamma=120.00
Last column: nearest neighbours and their distance in Å.
Fractional coordinates of all 8 atoms:
Pd1 0.0000 0.0000 0.3380  3 Sn 2.75, 4 Pd 2.89-3.05, 3 Tm 3.01, 1 Gd 3.02
Tm1 0.3333 0.6667 0.5000  8 Pd 2.97-3.01
Gd1 0.0000 0.0000 0.0000  8 Pd 3.02-3.04
Sn1 0.6667 0.3333 0.2537  6 Pd 2.75
Pd2 0.0000 0.0000 0.6620  3 Sn 2.75, 4 Pd 2.89-3.05, 3 Tm 3.01, 1 Gd 3.02
Pd3 0.3333 0.6667 0.1672  3 Sn 2.75, 1 Tm 2.97, 4 Pd 2.99-3.05, 3 Gd 3.04
Pd4 0.3333 0.6667 0.8328  3 Sn 2.75, 1 Tm 2.97, 4 Pd 2.99-3.05, 3 Gd 3.04
Sn2 0.6667 0.3333 0.7463  6 Pd 2.75

ReAgHg2 | PBE-GGA | relaxed

Computed properties:
crystal system	cubic
space-group type	F-43m (216)
ΔH_f (0 K)	1009.7	meV per atom

Unit cell a=4.7525 b=4.7525 c=4.7525 alpha=60.00 beta=60.00 gamma=60.00
Last column: nearest neighbours and their distance in Å.
Fractional coordinates of all 4 atoms:
Hg1 0.2500 0.2500 0.2500  4 Hg 2.91, 4 Re 2.91
Hg2 0.5000 0.5000 0.5000  4 Ag 2.91, 4 Hg 2.91
Ag1 0.7500 0.7500 0.7500  4 Hg 2.91, 4 Re 2.91
Re1 0.0000 0.0000 0.0000  4 Ag 2.91, 4 Hg 2.91

HfSiPO | PBE-GGA | relaxed

Computed properties:
crystal system	tetragonal
E above lowest polymorph	548	meV/atom
space-group type	P4/nmm (129)

Unit cell a=4.9509 b=4.9509 c=4.6484 alpha=90.00 beta=90.00 gamma=90.00
Last column: nearest neighbours and their distance in Å.
Fractional coordinates of all 8 atoms:
O1 0.5000 0.5000 0.0000  2 Hf 2.32, 4 Si 2.56
P1 0.5000 0.0000 0.3413  2 Si 2.23-2.42
O2 0.0000 0.0000 0.0000  2 Hf 2.32, 4 Si 2.56
P2 0.0000 0.5000 0.6587  2 Si 2.23-2.42
Si1 0.0000 0.5000 0.1383  2 P 2.23-2.42
Hf1 0.0000 0.0000 0.5000  2 O 2.32, 4 P 2.58
Si2 0.5000 0.0000 0.8617  2 P 2.23-2.42
Hf2 0.5000 0.5000 0.5000  2 O 2.32, 4 P 2.58

ZrTcPt | PBE-GGA | relaxed

Computed properties:
crystal system	trigonal
E above lowest polymorph	0	meV/atom
space-group type	P3m1 (156)
ΔH_f (0 K)	-413.6	meV per atom

Unit cell a=4.6177 b=4.6177 c=8.4237 alpha=90.00 beta=90.00 gamma=120.00
Last column: nearest neighbours and their distance in Å.
Fractional coordinates of all 9 atoms:
Pt1 0.3333 0.6667 0.1536  1 Pt 2.68, 4 Zr 2.68-2.87, 3 Tc 2.98
Pt2 0.0000 0.0000 0.4953  5 Zr 2.64-2.67
Tc1 0.6667 0.3333 0.3267  2 Tc 2.79-2.84, 6 Zr 2.93-3.02, 6 Pt 3.02-3.04
Zr1 0.3333 0.6667 0.4944  5 Pt 2.67-2.88
Pt3 0.3333 0.6667 0.8359  4 Zr 2.68-2.88, 1 Pt 2.68, 3 Tc 2.98
Tc2 0.6667 0.3333 0.6643  2 Tc 2.79-2.84, 6 Zr 2.93-3.03, 6 Pt 3.02-3.03
Zr2 0.0000 0.0000 0.1816  4 Pt 2.64-2.68, 3 Tc 2.93
Tc3 0.6667 0.3333 0.9950  2 Tc 2.79, 6 Pt 2.98, 6 Zr 3.09-3.10
Zr3 0.0000 0.0000 0.8092  4 Pt 2.64-2.68, 3 Tc 2.93

Na5Pd2 | PBE-GGA | relaxed

Computed properties:
crystal system	trigonal
space-group type	R-3m (166)
total DFT energy (no corrections)	-2.44	eV/atom

Unit cell a=7.4882 b=7.4882 c=7.4882 alpha=37.92 beta=37.92 gamma=37.92
Last column: nearest neighbours and their distance in Å.
Fractional coordinates of all 7 atoms:
Pd1 0.9343 0.9343 0.9343  1 Pd 2.74, 6 Na 2.96-3.03
Na1 0.3549 0.3549 0.3549  5 Na 2.94-3.02, 3 Pd 2.96
Na2 0.7863 0.7863 0.7863  4 Na 2.94-2.97, 4 Pd 3.03-3.08
Na3 0.6451 0.6451 0.6451  5 Na 2.94-3.02, 3 Pd 2.96
Pd2 0.0657 0.0657 0.0657  1 Pd 2.74, 6 Na 2.96-3.03
Na4 0.5000 0.5000 0.5000  8 Na 2.97-3.02
Na5 0.2137 0.2137 0.2137  4 Na 2.94-2.97, 4 Pd 3.03-3.08

PrTcAu | PBE-GGA | relaxed

Computed properties:
crystal system	cubic
space-group type	F-43m (216)
ΔH_f (0 K)	911.1	meV per atom

Unit cell a=4.7315 b=4.7315 c=4.7315 alpha=60.00 beta=60.00 gamma=60.00
Last column: nearest neighbours and their distance in Å.
Fractional coordinates of all 3 atoms:
Pr1 0.0000 0.0000 0.0000  4 Au 2.90, 4 Tc 2.90
Au1 0.7500 0.7500 0.7500  4 Pr 2.90
Tc1 0.2500 0.2500 0.2500  4 Pr 2.90

HfZnCoNi | PBE-GGA | relaxed

Computed properties:
crystal system	cubic
E above lowest polymorph	0	meV/atom
space-group type	F-43m (216)
ΔH_f (0 K)	-357.6	meV per atom

Unit cell a=4.2605 b=4.2605 c=4.2605 alpha=60.00 beta=60.00 gamma=60.00
Last column: nearest neighbours and their distance in Å.
Fractional coordinates of all 4 atoms:
Zn1 0.0000 0.0000 0.0000  4 Ni 2.61, 4 Co 2.61
Co1 0.7500 0.7500 0.7500  4 Hf 2.61, 4 Zn 2.61
Hf1 0.5000 0.5000 0.5000  4 Ni 2.61, 4 Co 2.61
Ni1 0.2500 0.2500 0.2500  4 Zn 2.61, 4 Hf 2.61

CsTbZnTeSe2 | PBE-GGA | relaxed

Computed properties:
crystal system	orthorhombic
space-group type	Cmcm (63)
total DFT energy (no corrections)	-4.13	eV/atom

Unit cell a=8.7261 b=8.7261 c=11.5031 alpha=90.00 beta=90.00 gamma=151.70
Last column: nearest neighbours and their distance in Å.
Fractional coordinates of all 12 atoms:
Se1 0.6068 0.3932 0.0688  1 Zn 2.47
Zn1 0.5285 0.4715 0.2500  2 Se 2.47, 2 Te 2.74
Cs1 0.2351 0.7649 0.2500  4 Se 3.69, 2 Te 3.89, 2 Zn 4.10
Te1 0.9272 0.0728 0.2500  2 Zn 2.74
Se2 0.3932 0.6068 0.9312  1 Zn 2.47
Zn2 0.4715 0.5285 0.7500  2 Se 2.47, 2 Te 2.74
Tb1 0.0000 0.0000 0.5000  4 Se 2.91, 2 Te 3.13
Cs2 0.7649 0.2351 0.7500  4 Se 3.69, 2 Te 3.89, 2 Zn 4.10
Te2 0.0728 0.9272 0.7500  2 Zn 2.74
Se3 0.6068 0.3932 0.4312  1 Zn 2.47
Se4 0.3932 0.6068 0.5688  1 Zn 2.47
Tb2 0.0000 0.0000 0.0000  4 Se 2.91, 2 Te 3.13